No. 1
Tb7Dy2Y3: relaxed, PBE.

Properties
Calculated formation energy   304 meV/atom
Raw total energy   -4.7797 eV per atom

```
data_Tb7Dy2Y3
_chemical_formula_sum 'Tb7 Dy2 Y3'
_space_group_name_H-M_alt 'P 1 2/m 1'
_space_group_IT_number 10
_cell_length_a 6.179
_cell_length_b 5.497
_cell_length_c 12.125
_cell_angle_alpha 90.00
_cell_angle_beta 91.47
_cell_angle_gamma 90.00
loop_
_space_group_symop_operation_xyz
'x,y,z'
'-x,-y,-z'
'-x,y,-z'
'x,-y,z'
loop_
_atom_site_label
_atom_site_fract_x
_atom_site_fract_y
_atom_site_fract_z
_atom_site_occupancy
Tb1 0.000 0.000 0.000 1
Tb2 0.083 0.500 0.169 1
Tb3 0.237 0.500 0.454 1
Tb4 0.435 0.000 0.181 1
Dy1 0.397 0.500 0.721 1
Y1 0.059 0.000 0.659 1
Y2 0.500 0.500 0.000 1
```

No. 2
VSbCl3: relaxed, PBE.

Properties
Formation energy (no corrections)   -0.337 eV per atom
Raw total energy   -4.0933 eV per atom

```
data_VSbCl3
_chemical_formula_sum 'V1 Sb1 Cl3'
_space_group_name_H-M_alt 'P m -3 m'
_space_group_IT_number 221
_space_group_name_Hall '-P 4 2 3'
_cell_length_a 4.880
_cell_length_b 4.880
_cell_length_c 4.880
_cell_angle_alpha 90.00
_cell_angle_beta 90.00
_cell_angle_gamma 90.00
loop_
_atom_site_label
_atom_site_fract_x
_atom_site_fract_y
_atom_site_fract_z
_atom_site_occupancy
V1 0.000 0.000 0.000 1
Sb1 0.500 0.500 0.500 1
Cl1 0.000 0.000 0.500 1
```

Number 1: D(E_F) 19.594 states/eV/cell. Number 2: D(E_F) 3.397 states/eV/cell.